Material: Cs12S5Cl3
Method: DFT, PBE
State: relaxed

Structure (POSCAR):
```
Cs12S5Cl3
1.0
-0.367 -16.719 6.019
16.378 6.630 1.921
-11.515 9.882 9.254
Cl S Cs
12 20 48
Direct
0.750 0.375 0.125
0.875 0.750 0.125
0.375 0.750 0.625
0.250 0.125 0.375
0.875 0.125 0.250
0.375 0.625 0.250
0.625 0.375 0.750
0.125 0.875 0.750
0.750 0.875 0.625
0.625 0.250 0.375
0.125 0.250 0.875
0.250 0.625 0.875
0.125 0.375 0.250
0.000 0.500 0.000
0.000 0.000 0.000
0.375 0.250 0.125
0.500 0.000 0.500
0.500 0.500 0.000
0.125 0.750 0.375
0.750 0.125 0.875
0.750 0.625 0.375
0.375 0.125 0.750
0.625 0.875 0.250
0.500 0.500 0.500
0.500 0.000 0.000
0.000 0.000 0.500
0.250 0.375 0.625
0.250 0.875 0.125
0.000 0.500 0.500
0.875 0.250 0.625
0.625 0.750 0.875
0.875 0.625 0.750
0.715 0.127 0.041
0.326 0.541 0.414
0.959 0.373 0.285
0.541 0.215 0.127
0.588 0.715 0.674
0.959 0.586 0.174
0.326 0.785 0.412
0.086 0.912 0.127
0.586 0.959 0.674
0.715 0.588 0.174
0.785 0.459 0.373
0.826 0.914 0.041
0.127 0.715 0.541
0.373 0.414 0.088
0.088 0.914 0.373
0.412 0.127 0.586
0.088 0.174 0.215
0.459 0.674 0.086
0.826 0.912 0.285
0.127 0.412 0.086
0.373 0.959 0.785
0.586 0.627 0.412
0.914 0.826 0.541
0.785 0.326 0.912
0.414 0.373 0.588
0.086 0.174 0.459
0.215 0.674 0.088
0.174 0.088 0.715
0.627 0.041 0.215
0.873 0.588 0.914
0.541 0.326 0.914
0.588 0.873 0.414
0.912 0.826 0.785
0.912 0.086 0.627
0.873 0.285 0.459
0.174 0.086 0.959
0.627 0.586 0.912
0.414 0.041 0.326
0.285 0.412 0.826
0.215 0.541 0.627
0.914 0.088 0.873
0.674 0.215 0.588
0.459 0.785 0.873
0.041 0.414 0.826
0.412 0.285 0.326
0.041 0.627 0.715
0.674 0.459 0.586
0.285 0.873 0.959
```

Calculated values
M_tot ... 0.071 μB per atom
E_form (uncorrected) ... -1.142 eV per atom
Theoretical density ... 2.861 g cm⁻³
DOS(E_F) ... 103.0 states/eV per cell

---

Material: Mn2SiSe
Method: DFT, PBE
State: relaxed

Structure (POSCAR):
```
Mn2SiSe
1.0
-3.385 5.276 -1.222
-0.609 -1.803 -6.097
-5.454 -0.265 -2.723
Si Mn Se
2 4 2
Direct
0.500 0.500 0.000
0.250 0.750 0.500
0.616 0.125 0.250
0.134 0.625 0.250
0.375 0.384 0.750
0.875 0.866 0.750
0.000 0.000 0.000
0.750 0.250 0.500
```

Calculated values
M_tot ... 2.000 μB per atom
E_form (uncorrected) ... 0.219 eV per atom
Theoretical density ... 4.304 g cm⁻³
DOS(E_F) ... 0.4 states/eV per cell
Offset from the most stable computed form ... 325.8 meV/atom

---

Material: ErNpPd6
Method: DFT, PBE
State: relaxed

Structure (POSCAR):
```
ErNpPd6
1.0
-0.266 -0.330 -4.094
2.433 -3.317 0.109
-6.626 -4.832 0.820
Er Np Pd
1 1 6
Direct
0.000 0.000 0.000
0.000 0.000 0.500
0.500 0.500 0.000
0.500 0.500 0.500
0.500 0.000 0.251
0.500 0.000 0.749
0.000 0.500 0.251
0.000 0.500 0.749
```

Calculated values
M_tot ... 0.376 μB per atom
Theoretical density ... 12.405 g cm⁻³
DFT formation energy ... -692.3 meV per atom
DOS(E_F) ... 13.4 states/eV per cell

---

Material: Ce4PuRu2
Method: DFT, PBE
State: relaxed

Structure (POSCAR):
```
Ce4PuRu2
1.0
-3.505 6.083 -1.661
-6.333 -5.309 1.382
4.118 2.921 5.158
Ce Pu Ru
8 2 4
Direct
0.878 0.128 0.250
0.343 0.525 0.182
0.863 0.601 0.738
0.848 0.213 0.808
0.405 0.213 0.366
0.397 0.028 0.632
0.401 0.730 0.839
0.890 0.730 0.330
0.102 0.558 0.456
0.142 0.029 0.885
0.608 0.480 0.873
0.610 0.886 0.277
0.624 0.314 0.175
0.140 0.314 0.689
```

Calculated values
M_tot ... 0.122 μB per atom
Theoretical density ... 9.894 g cm⁻³
DFT formation energy ... -150.3 meV per atom
DOS(E_F) ... 22.5 states/eV per cell
Offset from the most stable computed form ... 2.3 meV/atom

---

Material: BaCr2Re
Method: DFT, PBE
State: relaxed

Structure (POSCAR):
```
BaCr2Re
1.0
-1.958 -1.849 -1.991
3.336 0.529 -3.772
2.276 -3.978 1.455
Ba Cr Re
1 2 1
Direct
0.000 0.500 0.500
0.000 0.000 0.000
0.500 0.500 0.000
0.500 0.000 0.500
```

Calculated values
M_tot ... 0.499 μB per atom
Theoretical density ... 8.705 g cm⁻³
DFT formation energy ... 1475.6 meV per atom
DOS(E_F) ... 4.2 states/eV per cell
Offset from the most stable computed form ... 785.4 meV/atom

---

Material: Cs2KSiAs2
Method: DFT, PBE
State: relaxed

Structure (POSCAR):
```
Cs2KSiAs2
1.0
-2.528 4.612 -3.859
-5.845 -4.804 -1.911
-1.937 4.064 11.638
Cs K Si As
4 2 2 4
Direct
0.649 0.859 0.298
0.149 0.439 0.298
0.851 0.561 0.702
0.351 0.141 0.702
0.250 0.000 0.000
0.750 0.000 0.000
0.750 0.500 0.000
0.250 0.500 0.000
0.446 0.613 0.891
0.554 0.387 0.109
0.054 0.722 0.109
0.946 0.278 0.891
```

Calculated values
M_tot ... 0.000 μB per atom
E_form (uncorrected) ... -0.328 eV per atom
Theoretical density ... 2.764 g cm⁻³
DOS(E_F) ... 4.7 states/eV per cell

---

Material: Cs2CaHgSb2
Method: DFT, PBE
State: relaxed

Structure (POSCAR):
```
Cs2CaHgSb2
1.0
-6.713 -0.995 2.671
-2.121 -3.183 -6.517
6.847 -5.924 5.045
Cs Ca Hg Sb
4 2 2 4
Direct
0.440 0.174 0.349
0.560 0.826 0.651
0.092 0.326 0.651
0.908 0.674 0.349
0.000 0.750 0.000
0.000 0.250 0.000
0.500 0.750 0.000
0.500 0.250 0.000
0.832 0.093 0.187
0.354 0.593 0.187
0.646 0.407 0.813
0.168 0.907 0.813
```

Calculated values
M_tot ... 0.000 μB per atom
E_form (uncorrected) ... -0.571 eV per atom
Theoretical density ... 5.058 g cm⁻³

---

Material: Na2Cd2I7
Method: DFT, PBE
State: relaxed

Structure (POSCAR):
```
Na2Cd2I7
1.0
7.222 0.250 0.326
-1.060 8.367 0.215
-1.060 -1.962 8.136
Na Cd I
2 2 7
Direct
0.500 0.297 0.703
0.500 0.703 0.297
0.094 0.745 0.745
0.906 0.255 0.255
0.259 0.548 0.940
0.741 0.060 0.452
0.741 0.452 0.060
0.259 0.940 0.548
0.256 0.407 0.407
0.000 0.000 0.000
0.744 0.593 0.593
```

Calculated values
M_tot ... 0.000 μB per atom
E_form (uncorrected) ... -0.661 eV per atom
Theoretical density ... 3.847 g cm⁻³
DOS(E_F) ... 14.6 states/eV per cell

---

Material: Hf3TaTl
Method: DFT, PBE
State: relaxed

Structure (POSCAR):
```
Hf3TaTl
1.0
5.129 0.000 0.000
0.000 5.129 0.000
0.000 0.000 5.129
Tl Hf Ta
1 3 1
Direct
0.500 0.500 0.500
0.000 0.500 0.000
0.000 0.000 0.500
0.500 0.000 0.000
0.000 0.000 0.000
```

Calculated values
M_tot ... 0.000 μB per atom
Theoretical density ... 11.332 g cm⁻³
DFT formation energy ... 1044.4 meV per atom
DOS(E_F) ... 6.8 states/eV per cell

---

Material: EuHoS
Method: DFT, PBE
State: relaxed

Structure (POSCAR):
```
EuHoS
1.0
3.860 0.000 0.000
-1.930 3.343 0.000
0.000 0.000 6.599
Eu S Ho
1 1 1
Direct
0.333 0.667 0.600
0.667 0.333 0.322
0.000 0.000 0.077
```

Calculated values
M_tot ... 2.693 μB per atom
E_form (uncorrected) ... -1.239 eV per atom
Theoretical density ... 6.806 g cm⁻³
DOS(E_F) ... 2.6 states/eV per cell

---

Material: RbNa2GaSb2
Method: DFT, PBE
State: relaxed

Structure (POSCAR):
```
RbNa2GaSb2
1.0
-2.774 -3.802 1.278
4.350 -5.043 -5.563
5.736 -2.052 6.347
Rb Na Ga Sb
2 4 2 4
Direct
0.000 0.008 0.416
0.000 0.508 0.584
0.500 0.034 0.060
0.000 0.350 0.167
0.500 0.534 0.940
0.000 0.850 0.833
0.500 0.144 0.666
0.500 0.644 0.334
0.000 0.204 0.841
0.500 0.306 0.376
0.000 0.704 0.159
0.500 0.806 0.624
```

Calculated values
M_tot ... 0.000 μB per atom
E_form (uncorrected) ... -0.295 eV per atom
Theoretical density ... 3.967 g cm⁻³
DOS(E_F) ... 2.2 states/eV per cell

---

Material: SmTm2Ru
Method: DFT, PBE
State: relaxed

Structure (POSCAR):
```
SmTm2Ru
1.0
-0.429 -2.088 -2.819
0.696 -3.457 0.239
-9.245 -3.542 1.814
Ru Tm Sm
1 2 1
Direct
0.000 0.000 0.000
0.270 0.270 0.189
0.730 0.730 0.811
0.500 0.500 0.500
```

Calculated values
M_tot ... 0.001 μB per atom
Theoretical density ... 9.177 g cm⁻³
DFT formation energy ... -56.3 meV per atom
DOS(E_F) ... 6.3 states/eV per cell
Offset from the most stable computed form ... 269.5 meV/atom

---

Material: Y3PdRh
Method: DFT, PBE
State: relaxed

Structure (POSCAR):
```
Y3PdRh
1.0
-3.238 2.688 3.182
-3.975 -3.200 -1.341
1.247 -3.220 3.989
Y Rh Pd
3 1 1
Direct
0.000 0.500 0.000
0.000 0.000 0.500
0.500 0.000 0.000
0.000 0.000 0.000
0.500 0.500 0.500
```

Calculated values
M_tot ... 0.000 μB per atom
Theoretical density ... 5.382 g cm⁻³
DFT formation energy ... -236.3 meV per atom
DOS(E_F) ... 3.7 states/eV per cell
Offset from the most stable computed form ... 477.7 meV/atom

---

Material: Pa3Ta5H12
Method: DFT, PBE
State: relaxed

Structure (POSCAR):
```
Pa3Ta5H12
1.0
10.336 0.000 0.000
-3.445 9.745 0.000
-3.445 -4.873 8.440
Pa Ta H
12 20 48
Direct
0.750 0.375 0.125
0.875 0.750 0.125
0.375 0.750 0.625
0.250 0.125 0.375
0.875 0.125 0.250
0.375 0.625 0.250
0.625 0.375 0.750
0.125 0.875 0.750
0.750 0.875 0.625
0.625 0.250 0.375
0.125 0.250 0.875
0.250 0.625 0.875
0.125 0.375 0.250
0.000 0.500 0.000
0.000 0.000 0.000
0.375 0.250 0.125
0.500 0.000 0.500
0.500 0.500 0.000
0.125 0.750 0.375
0.750 0.125 0.875
0.750 0.625 0.375
0.375 0.125 0.750
0.625 0.875 0.250
0.500 0.500 0.500
0.500 0.000 0.000
0.000 0.000 0.500
0.250 0.375 0.625
0.250 0.875 0.125
0.000 0.500 0.500
0.875 0.250 0.625
0.625 0.750 0.875
0.875 0.625 0.750
0.712 0.129 0.046
0.335 0.546 0.418
0.954 0.371 0.288
0.546 0.212 0.129
0.583 0.712 0.665
0.954 0.582 0.165
0.335 0.788 0.417
0.082 0.917 0.129
0.582 0.954 0.665
0.712 0.583 0.165
0.788 0.454 0.371
0.835 0.918 0.046
0.129 0.712 0.546
0.371 0.418 0.083
0.083 0.918 0.371
0.417 0.129 0.582
0.083 0.165 0.212
0.454 0.665 0.082
0.835 0.917 0.288
0.129 0.417 0.082
0.371 0.954 0.788
0.582 0.629 0.417
0.918 0.835 0.546
0.788 0.335 0.917
0.418 0.371 0.583
0.082 0.165 0.454
0.212 0.665 0.083
0.165 0.083 0.712
0.629 0.046 0.212
0.871 0.583 0.918
0.546 0.335 0.918
0.583 0.871 0.418
0.917 0.835 0.788
0.917 0.082 0.629
0.871 0.288 0.454
0.165 0.082 0.954
0.629 0.582 0.917
0.418 0.046 0.335
0.288 0.417 0.835
0.212 0.546 0.629
0.918 0.083 0.871
0.665 0.212 0.583
0.454 0.788 0.871
0.046 0.418 0.835
0.417 0.288 0.335
0.046 0.629 0.712
0.665 0.454 0.582
0.288 0.871 0.954
```

Calculated values
M_tot ... 0.000 μB per atom
Theoretical density ... 12.579 g cm⁻³
VASP energy ... -6.55 eV per atom
DOS(E_F) ... 62.1 states/eV per cell

---

Material: PuZnGePt3
Method: DFT, PBE
State: relaxed

Structure (POSCAR):
```
PuZnGePt3
1.0
-0.345 1.651 5.365
-2.864 -6.034 1.673
6.863 0.731 0.216
Pu Zn Ge Pt
2 2 2 6
Direct
0.750 0.294 0.589
0.250 0.706 0.411
0.250 0.952 0.903
0.750 0.048 0.097
0.250 0.371 0.743
0.750 0.629 0.257
0.250 0.171 0.341
0.000 0.292 0.000
0.500 0.708 0.000
0.500 0.292 0.000
0.000 0.708 0.000
0.750 0.829 0.659
```

Calculated values
M_tot ... 0.885 μB per atom
Theoretical density ... 13.860 g cm⁻³
DFT formation energy ... -456.1 meV per atom
DOS(E_F) ... 32.0 states/eV per cell

---

Material: ScNiTe3
Method: DFT, PBE
State: relaxed

Structure (POSCAR):
```
ScNiTe3
1.0
-2.594 -3.716 3.019
4.601 -0.984 2.742
-1.325 3.857 3.609
Sc Ni Te
1 1 3
Direct
0.000 0.000 0.000
0.500 0.500 0.500
0.000 0.500 0.000
0.000 0.000 0.500
0.500 0.000 0.000
```

Calculated values
M_tot ... 0.000 μB per atom
E_form (uncorrected) ... 0.416 eV per atom
Theoretical density ... 5.001 g cm⁻³
DOS(E_F) ... 11.1 states/eV per cell
Offset from the most stable computed form ... 463.7 meV/atom

---

Material: Tm4ScAl2
Method: DFT, PBE
State: relaxed

Structure (POSCAR):
```
Tm4ScAl2
1.0
-3.956 -0.486 3.187
-0.137 -3.868 3.327
2.378 2.995 7.494
Sc Tm Al
1 4 2
Direct
0.000 0.000 0.000
0.864 0.864 0.408
0.136 0.136 0.592
0.600 0.600 0.200
0.400 0.400 0.800
0.732 0.732 0.803
0.268 0.268 0.197
```

Calculated values
M_tot ... 0.000 μB per atom
Theoretical density ... 7.236 g cm⁻³
DFT formation energy ... -173.4 meV per atom
DOS(E_F) ... 7.7 states/eV per cell
Offset from the most stable computed form ... 0.0 meV/atom